Entry i
# GGA-PBE Na2Hg2Bi, optimized geometry
# magnetic moment: 0.00 μB per formula unit
# D(E_F): 0.2163 states/eV/atom
# density: 7850 kg/m3
data_Na2Hg2Bi
_symmetry_space_group_name_H-M 'P 4/m b m'
_symmetry_Int_Tables_number 127
_symmetry_space_group_name_Hall '-P 4 2ab'
_cell_length_a 8.664
_cell_length_b 8.664
_cell_length_c 3.698
_cell_angle_alpha 90.00
_cell_angle_beta 90.00
_cell_angle_gamma 90.00
loop_
_atom_site_label
_atom_site_type_symbol
_atom_site_fract_x
_atom_site_fract_y
_atom_site_fract_z
Na1 Na 0.159 0.341 0.000
Hg1 Hg 0.136 0.636 0.500
Bi1 Bi 0.000 0.000 0.000

---

Entry ii
# GGA-PBE Na2Hg2Bi, optimized geometry
# magnetic moment: 0.00 μB per formula unit
# D(E_F): 0.5721 states/eV/atom
# density: 7416 kg/m3
data_Na2Hg2Bi
_symmetry_space_group_name_H-M 'C m m m'
_symmetry_Int_Tables_number 65
_symmetry_space_group_name_Hall '-C 2 2'
_cell_length_a 5.603
_cell_length_b 8.391
_cell_length_c 6.250
_cell_angle_alpha 90.00
_cell_angle_beta 90.00
_cell_angle_gamma 90.00
loop_
_atom_site_label
_atom_site_type_symbol
_atom_site_fract_x
_atom_site_fract_y
_atom_site_fract_z
Na1 Na 0.000 0.000 0.242
Hg1 Hg 0.000 0.325 0.500
Bi1 Bi 0.000 0.500 0.000

---

Entry iii
# GGA-PBE Na2Hg2Bi, optimized geometry
# magnetic moment: 0.00 μB per formula unit
# D(E_F): 0.2966 states/eV/atom
# density: 7846 kg/m3
data_Na2Hg2Bi
_symmetry_space_group_name_H-M 'C 1 2/m 1'
_symmetry_Int_Tables_number 12
_cell_length_a 11.434
_cell_length_b 5.060
_cell_length_c 9.928
_cell_angle_alpha 90.00
_cell_angle_beta 104.75
_cell_angle_gamma 90.00
loop_
_symmetry_equiv_pos_as_xyz
'x,y,z'
'-x,-y,-z'
'-x,y,-z'
'x,-y,z'
'x+1/2,y+1/2,z'
'-x+1/2,-y+1/2,-z'
'-x+1/2,y+1/2,-z'
'x+1/2,-y+1/2,z'
loop_
_atom_site_label
_atom_site_type_symbol
_atom_site_fract_x
_atom_site_fract_y
_atom_site_fract_z
Na1 Na 0.066 0.000 0.361
Na2 Na 0.168 0.000 0.046
Hg1 Hg 0.041 0.500 0.860
Hg2 Hg 0.131 0.500 0.568
Bi1 Bi 0.250 0.000 0.723

---

Entry iv
# GGA-PBE Na2Hg2Bi, optimized geometry
# magnetic moment: 0.00 μB per formula unit
# D(E_F): 0.3460 states/eV/atom
# density: 8111 kg/m3
data_Na2Hg2Bi
_symmetry_space_group_name_H-M 'P 4/m b m'
_symmetry_Int_Tables_number 127
_symmetry_space_group_name_Hall '-P 4 2ab'
_cell_length_a 8.735
_cell_length_b 8.735
_cell_length_c 3.521
_cell_angle_alpha 90.00
_cell_angle_beta 90.00
_cell_angle_gamma 90.00
loop_
_atom_site_label
_atom_site_type_symbol
_atom_site_fract_x
_atom_site_fract_y
_atom_site_fract_z
Na1 Na 0.174 0.326 0.000
Hg1 Hg 0.123 0.623 0.500
Bi1 Bi 0.000 0.000 0.500

---

Of them, the most stable is entry iii and the least stable is entry ii.

---

Entry i
# GGA-PBE Na6Hg2Bi, optimized geometry
# magnetic moment: 0.00 μB per formula unit
# D(E_F): 0.4550 states/eV/atom
# density: 4983 kg/m3
data_Na6Hg2Bi
_symmetry_space_group_name_H-M 'P 6/m m m'
_symmetry_Int_Tables_number 191
_symmetry_space_group_name_Hall '-P 6 2'
_cell_length_a 9.2371
_cell_length_b 9.2371
_cell_length_c 3.3736
_cell_angle_alpha 90.00
_cell_angle_beta 90.00
_cell_angle_gamma 120.00
loop_
_atom_site_label
_atom_site_type_symbol
_atom_site_fract_x
_atom_site_fract_y
_atom_site_fract_z
Na1 Na 0.0000 0.3317 0.0000
Hg1 Hg 0.3333 0.6667 0.5000
Bi1 Bi 0.0000 0.0000 0.5000

---

Entry ii
# GGA-PBE Na6Hg2Bi, optimized geometry
# magnetic moment: 0.00 μB per formula unit
# D(E_F): 0.4816 states/eV/atom
# density: 4526 kg/m3
data_Na6Hg2Bi
_symmetry_space_group_name_H-M 'I m m m'
_symmetry_Int_Tables_number 71
_symmetry_space_group_name_Hall '-I 2 2'
_cell_length_a 9.596
_cell_length_b 10.284
_cell_length_c 11.124
_cell_angle_alpha 90.00
_cell_angle_beta 90.00
_cell_angle_gamma 90.00
loop_
_atom_site_label
_atom_site_type_symbol
_atom_site_fract_x
_atom_site_fract_y
_atom_site_fract_z
Na1 Na 0.000 0.218 0.168
Na2 Na 0.186 0.218 0.500
Na3 Na 0.190 0.500 0.250
Hg1 Hg 0.000 0.000 0.364
Hg2 Hg 0.156 0.000 0.000
Bi1 Bi 0.000 0.500 0.000
Bi2 Bi 0.000 0.500 0.500

---

Of them, the most stable is entry ii and the least stable is entry i.